Record 1
Here is an optimized crystal structure of PrAl4CuAg2 from Alexandria via LeMat-Bulk. Energies are from PBE-GGA.

Cell: 4.3901 4.3901 26.8656 Å, 90.00 90.00 120.00°
Space group R-3m (No. 166, hexagonal axes)
One atom of each set of equivalent atoms:
1 Pr 0.0000 0.0000 0.0000 (multiplicity 3)
2 Al 0.0000 0.0000 0.1307 (multiplicity 6)
3 Al 0.0000 0.0000 0.4037 (multiplicity 6)
4 Cu 0.0000 0.0000 0.5000 (multiplicity 3)
5 Ag 0.0000 0.0000 0.2385 (multiplicity 6)

The density of states at the Fermi level comes out at 0.39 states/eV per atom. The value obtained for the formation energy is -0.213 eV per atom.

---

Record 2
Here is an optimized crystal structure of Pr2Al4Cu3Ag from Alexandria via LeMat-Bulk. Energies are from PBE-GGA.

Cell: 4.297 4.297 10.353 Å, 90.00 90.00 90.00°
Space group P-4m2 (No. 115)
One atom of each set of equivalent atoms:
1 Pr 0.000 0.500 0.247 (multiplicity 2)
2 Al 0.000 0.000 0.000 (multiplicity 1)
3 Al 0.000 0.500 0.638 (multiplicity 2)
4 Al 0.500 0.500 0.000 (multiplicity 1)
5 Cu 0.000 0.500 0.874 (multiplicity 2)
6 Cu 0.500 0.500 0.500 (multiplicity 1)
7 Ag 0.000 0.000 0.500 (multiplicity 1)

The density of states at the Fermi level comes out at 0.61 states/eV per atom. The value obtained for the formation energy is -0.385 eV per atom.

---

Record 3
Here is an optimized crystal structure of AlCu2AgS4 from Alexandria via LeMat-Bulk. Energies are from PBE-GGA.

Cell: 5.469 5.469 10.511 Å, 90.00 90.00 90.00°
Space group I-42m (No. 121)
One atom of each set of equivalent atoms:
1 Al 0.000 0.000 0.000 (multiplicity 2)
2 Cu 0.000 0.500 0.250 (multiplicity 4)
3 Ag 0.000 0.000 0.500 (multiplicity 2)
4 S 0.232 0.232 0.133 (multiplicity 8)

The density of states at the Fermi level comes out at 0.76 states/eV per atom. The calculation puts the raw formation energy at -0.43 eV per atom.

---

Summary of total moment in μB per cell
0.0, 0.0, 0.0
(order as listed above)
Summary of energy in eV/atom
-3.91, -4.35, -4.34
(order as listed above)